Density functional theory data (PBE) for a relaxed structure of TmLuCo.

The total moment comes out at 0.00 μB per formula unit. Its formation energy is -0.2 eV per formula unit. The energy relative to the lowest polymorph listed for this composition is 118.8 meV per atom. As for the uncorrected energy: -16.3 eV/cell. The crystal system is trigonal. The value obtained for the calculated volume is 25.1 Å³ per atom.

It has space group P3m1 (No. 156), with a = 3.7950 Å, b = 3.7950 Å, c = 6.0294 Å, α = 90.00°, β = 90.00° and γ = 120.00°. Symmetry generates all atoms from Tm at (0.0000, 0.0000, 0.0000), Lu at (0.3333, 0.6667, 0.5303) and Co at (0.6667, 0.3333, 0.7633).